Entry 1:
Tb4YTl5: optimized geometry, PBE.

Geometry as CIF:
```
data_Tb4YTl5
_chemical_formula_sum 'Tb4 Y1 Tl5'
_symmetry_space_group_name_H-M 'P 1'
_symmetry_Int_Tables_number 1
_symmetry_space_group_name_Hall 'P 1'
_cell_length_a 3.771
_cell_length_b 3.771
_cell_length_c 19.403
_cell_angle_alpha 90.00
_cell_angle_beta 90.00
_cell_angle_gamma 90.00
loop_
_atom_site_label
_atom_site_type_symbol
_atom_site_fract_x
_atom_site_fract_y
_atom_site_fract_z
Tl1 Tl 0.500 0.500 0.900
Tl2 Tl 0.500 0.500 0.300
Tl3 Tl 0.500 0.500 0.700
Tb1 Tb 0.000 0.000 0.200
Tl4 Tl 0.500 0.500 0.500
Tb2 Tb 0.000 0.000 0.800
Tb3 Tb 0.000 0.000 0.400
Y1 Y 0.000 0.000 0.000
Tb4 Tb 0.000 0.000 0.600
Tl5 Tl 0.500 0.500 0.100
```

Values from the calculation:
Calculated formation energy = -0.359 eV per atom
Space-group type = No. 123
Energy = -40.4 eV for the cell shown

Entry 2:
LaTiSbSe2: optimized geometry, PBE.

Geometry as CIF:
```
data_LaTiSbSe2
_chemical_formula_sum 'La1 Ti1 Sb1 Se2'
_symmetry_space_group_name_H-M 'P 1'
_symmetry_Int_Tables_number 1
_symmetry_space_group_name_Hall 'P 1'
_cell_length_a 5.471
_cell_length_b 5.118
_cell_length_c 5.471
_cell_angle_alpha 90.00
_cell_angle_beta 90.00
_cell_angle_gamma 90.00
loop_
_atom_site_label
_atom_site_type_symbol
_atom_site_fract_x
_atom_site_fract_y
_atom_site_fract_z
Sb1 Sb 0.000 0.000 0.000
Se1 Se 0.000 0.000 0.500
Se2 Se 0.500 0.000 0.000
La1 La 0.500 0.500 0.500
Ti1 Ti 0.000 0.500 0.000
```

Values from the calculation:
E_form (uncorrected) = 0.021 eV per atom
Space-group type = No. 123
Energy = -23.8 eV for the cell shown

Entry 3:
NpIn2PbCl8: optimized geometry, PBE.

Geometry as CIF:
```
data_NpIn2PbCl8
_chemical_formula_sum 'Np1 In2 Pb1 Cl8'
_symmetry_space_group_name_H-M 'P 1'
_symmetry_Int_Tables_number 1
_symmetry_space_group_name_Hall 'P 1'
_cell_length_a 7.176
_cell_length_b 6.919
_cell_length_c 8.667
_cell_angle_alpha 89.99
_cell_angle_beta 90.01
_cell_angle_gamma 92.38
loop_
_atom_site_label
_atom_site_type_symbol
_atom_site_fract_x
_atom_site_fract_y
_atom_site_fract_z
Cl1 Cl 0.304 0.209 0.000
Np1 Np 0.000 0.000 0.000
Cl2 Cl 0.696 0.791 0.000
Cl3 Cl 0.135 0.786 0.774
Cl4 Cl 0.865 0.214 0.226
Cl5 Cl 0.320 0.264 0.500
In1 In 0.500 0.500 0.745
Cl6 Cl 0.680 0.736 0.500
Cl7 Cl 0.135 0.786 0.226
Cl8 Cl 0.865 0.214 0.774
In2 In 0.500 0.500 0.255
Pb1 Pb 0.000 0.000 0.500
```

Values from the calculation:
E_form (uncorrected) = -1.247 eV per atom
Space-group type = No. 10
Energy = -51.9 eV for the cell shown

Entry 4:
ZnBi3Sb: optimized geometry, PBE.

Geometry as CIF:
```
data_ZnBi3Sb
_chemical_formula_sum 'Zn1 Bi3 Sb1'
_symmetry_space_group_name_H-M 'P 1'
_symmetry_Int_Tables_number 1
_symmetry_space_group_name_Hall 'P 1'
_cell_length_a 5.397
_cell_length_b 5.397
_cell_length_c 5.397
_cell_angle_alpha 90.00
_cell_angle_beta 90.00
_cell_angle_gamma 90.00
loop_
_atom_site_label
_atom_site_type_symbol
_atom_site_fract_x
_atom_site_fract_y
_atom_site_fract_z
Bi1 Bi 0.000 0.000 0.500
Sb1 Sb 0.500 0.500 0.500
Bi2 Bi 0.000 0.500 0.000
Zn1 Zn 0.000 0.000 0.000
Bi3 Bi 0.500 0.000 0.000
```

Values from the calculation:
E_form (uncorrected) = 0.492 eV per atom
Space-group type = No. 221
Energy = -14.6 eV for the cell shown
Energy above the lowest structure with this stoichiometry = 0 meV per atom

Computed values of total magnetization (unit: μB/f.u.) for the preceding records, in sequence: 0.0 2.3 3.0 0.0.